Record 1
Below is NaCaNd after structural relaxation, with properties calculated at the PBE level.

POSCAR file:
```
NaCaNd
1.0
-3.566 -1.051 0.207
2.462 -2.117 -1.823
1.845 -4.691 7.937
Ca Na Nd
1 1 1
Cartesian
1.695 -4.923 4.202
-0.949 -2.953 2.148
1.838 -4.675 7.909
```

Results
The space group is P3m1 (156). The crystal system is trigonal. Its energy relative to the elements is 123 meV/atom. Its energy above the most stable polymorph in this dataset is 0.0895 eV per atom.



Record 2
Below is LiYIr4 after structural relaxation, with properties calculated at the PBE level.

POSCAR file:
```
LiYIr4
1.0
5.271 0.000 0.000
2.636 4.565 0.000
2.636 1.522 4.304
Y Ir Li
1 4 1
Cartesian
0.000 0.000 0.000
3.957 3.802 2.689
6.586 3.802 2.689
5.271 3.043 0.542
5.271 1.526 2.689
2.636 1.522 1.076
```

Results
The space group is F-43m (216). The crystal system is cubic. Its energy relative to the elements is -452 meV/atom.



Record 3
Below is Ti4BiN after structural relaxation, with properties calculated at the PBE level.

POSCAR file:
```
Ti4BiN
1.0
-3.433 1.862 1.203
0.498 -3.064 6.160
4.084 5.859 2.583
N Ti Bi
2 8 2
Cartesian
-1.144 -0.573 3.108
-0.746 2.842 5.897
-1.001 -1.453 4.877
0.227 3.646 7.428
-1.563 1.078 6.295
0.963 1.955 5.208
-0.889 3.722 4.128
1.967 4.481 4.161
-0.327 1.191 2.710
-2.853 0.314 3.798
-3.060 1.585 1.243
1.169 0.684 7.762
```

Results
The space group is Pmmn (59). The crystal system is orthorhombic. For the formation energy (no corrections), the calculation gives -0.382 eV/atom. Its energy above the most stable polymorph in this dataset is 0.2783 eV per atom.



Record 4
Below is MgSnPb after structural relaxation, with properties calculated at the PBE level.

POSCAR file:
```
MgSnPb
1.0
0.389 -0.288 -4.485
-0.807 -4.805 0.238
-7.405 1.321 1.541
Sn Pb Mg
2 2 2
Cartesian
-1.444 -3.579 -2.165
-6.379 -0.193 -0.541
-4.091 -3.035 -0.161
-3.732 -0.737 -2.545
-1.387 -1.008 -0.056
-6.436 -2.764 -2.650
```

Results
The space group is Cmcm (63). The crystal system is orthorhombic. Its energy relative to the elements is -29 meV/atom. Its energy above the most stable polymorph in this dataset is 0.0050 eV per atom.



Record 5
Below is Pr2ZnSi2 after structural relaxation, with properties calculated at the PBE level.

POSCAR file:
```
Pr2ZnSi2
1.0
4.201 0.000 0.000
0.000 3.956 -1.284
0.000 -0.001 6.733
Si Pr Zn
2 2 1
Cartesian
2.100 1.223 3.768
2.100 1.998 -0.581
0.000 3.680 4.603
0.000 2.720 1.644
2.100 0.433 1.334
```

Results
The space group is Amm2 (38). The crystal system is orthorhombic. For the formation energy (no corrections), the calculation gives -0.514 eV/atom.



Record 6
Below is Th2SbTe3 after structural relaxation, with properties calculated at the PBE level.

POSCAR file:
```
Th2SbTe3
1.0
4.369 0.000 0.000
-2.184 10.324 -0.495
0.000 -5.292 8.653
Te Th Sb
6 4 2
Cartesian
2.184 1.297 3.932
2.184 -1.167 7.153
0.000 3.735 4.226
0.000 -1.265 3.930
2.184 6.297 4.228
0.000 6.198 1.005
2.184 3.918 1.816
0.000 1.114 6.342
2.184 -0.880 1.622
0.000 5.912 6.536
0.000 1.612 0.746
2.184 3.420 7.412
```

Results
The space group is C2/m (12). The crystal system is monoclinic. For the formation energy (no corrections), the calculation gives -0.970 eV/atom.



Record 7
Below is K2CdTe3 after structural relaxation, with properties calculated at the PBE level.

POSCAR file:
```
K2CdTe3
1.0
4.847 0.000 0.000
0.000 7.522 0.000
0.000 0.000 25.849
Te K Cd
12 8 4
Cartesian
1.212 5.550 25.246
3.635 5.732 12.321
1.212 4.056 4.181
3.635 1.972 0.603
3.635 3.466 21.668
1.212 1.789 13.528
3.635 0.696 21.266
1.212 3.065 8.342
3.635 4.457 17.507
1.212 0.295 8.744
3.635 7.226 17.105
1.212 6.825 4.583
3.635 5.539 6.996
3.635 6.269 2.089
1.212 5.014 15.014
3.635 1.779 5.929
3.635 2.508 10.836
1.212 5.743 19.920
1.212 1.982 18.853
1.212 1.253 23.760
1.212 7.152 11.536
3.635 4.130 24.460
3.635 0.369 14.313
1.212 3.391 1.389
```

Results
The space group is Pnma (62). The crystal system is orthorhombic. For the formation energy (no corrections), the calculation gives -0.682 eV/atom.



Record 8
Below is YSc2IrRu after structural relaxation, with properties calculated at the PBE level.

POSCAR file:
```
YSc2IrRu
1.0
4.910 0.000 0.000
0.000 4.942 0.000
0.000 0.000 4.910
Sc Ir Y Ru
2 1 1 1
Cartesian
2.455 0.000 0.000
0.000 0.000 2.455
0.000 0.000 0.000
2.455 2.471 2.455
0.000 2.471 0.000
```

Results
The space group is P4/mmm (123). The crystal system is tetragonal. Its energy relative to the elements is 31 meV/atom.